Entry from Alexandria via LeMat-Bulk: a relaxed CaHo4Te5 crystal (PBE).

Cell: 9.7537 9.7537 6.1685 Å, 90.00 90.00 90.00°
With the nearest neighbours (Å) after each atom.
Space group I4/m (No. 87)
One atom of each set of equivalent atoms:
Ca 0.0000 0.0000 0.0000 (multiplicity 2)  6 Te 3.08-3.11
Ho 0.1026 0.2988 0.5000 (multiplicity 8)  6 Te 3.07-3.09
Te 0.0000 0.0000 0.5000 (multiplicity 2)  4 Ho 3.08, 2 Ca 3.08
Te 0.0988 0.3030 0.0000 (multiplicity 8)  5 Ho 3.07-3.09, 1 Ca 3.11

Computed properties:
- E_tot (eV per formula unit) = -49.16

Entry from Alexandria via LeMat-Bulk: a relaxed Er14ZrSc crystal (PBE).

Cell: 6.9408 6.9408 9.7790 Å, 90.00 90.00 90.00°
With the nearest neighbours (Å) after each atom.
Space group P4/mmm (No. 123)
One atom of each set of equivalent atoms:
Er 0.0000 0.0000 0.0000 (multiplicity 1)  12 Er 3.47-3.49
Er 0.0000 0.5000 0.0000 (multiplicity 2)  12 Er 3.47-3.51
Er 0.0000 0.5000 0.5000 (multiplicity 2)  8 Er 3.42, 2 Sc 3.47, 2 Zr 3.47
Er 0.2470 0.2470 0.2568 (multiplicity 8)  1 Zr 3.40, 10 Er 3.42-3.53, 1 Sc 3.44
Er 0.5000 0.5000 0.0000 (multiplicity 1)  12 Er 3.47-3.53
Zr 0.0000 0.0000 0.5000 (multiplicity 1)  12 Er 3.40-3.47
Sc 0.5000 0.5000 0.5000 (multiplicity 1)  12 Er 3.44-3.47

Computed properties:
- E_form (eV per formula unit) = 0.6

Entry from Alexandria via LeMat-Bulk: a relaxed Hf2SnI crystal (PBE).

Cell: 6.4600 6.4600 13.0149 Å, 90.00 90.00 90.00°
With the nearest neighbours (Å) after each atom.
Space group I-42d (No. 122)
One atom of each set of equivalent atoms:
Hf 0.2387 0.2500 0.1250 (multiplicity 8)  2 Sn 2.76, 2 I 2.85
Sn 0.0000 0.0000 0.0000 (multiplicity 4)  4 Hf 2.76
I 0.0000 0.0000 0.5000 (multiplicity 4)  4 Hf 2.85

Computed properties:
- E above lowest polymorph (meV/atom) = 775

Entry from Alexandria via LeMat-Bulk: a relaxed BaSr2Li crystal (PBE).

Cell: 4.3334 4.3334 10.4003 Å, 90.00 90.00 90.00°
With the nearest neighbours (Å) after each atom.
Space group P4/mmm (No. 123)
One atom of each set of equivalent atoms:
Ba 0.0000 0.0000 0.0000 (multiplicity 1)  4 Ba 4.33, 8 Sr 4.41
Sr 0.5000 0.5000 0.3045 (multiplicity 2)  4 Li 3.68, 1 Sr 4.07
Li 0.0000 0.0000 0.5000 (multiplicity 1)  8 Sr 3.68

Computed properties:
- E_form (eV per formula unit) = 0.1
- E above lowest polymorph (meV/atom) = 4

Entry from Alexandria via LeMat-Bulk: a relaxed Cs3Hg4Bi4 crystal (PBE).

Cell: 9.6132 9.6132 9.6132 Å, 90.00 90.00 90.00°
With the nearest neighbours (Å) after each atom.
Space group I-43m (No. 217)
One atom of each set of equivalent atoms:
Cs 0.0000 0.0000 0.5000 (multiplicity 6)  4 Hg 3.92, 4 Bi 3.93
Hg 0.1678 0.1678 0.8322 (multiplicity 8)  4 Bi 2.97-3.10
Bi 0.1540 0.1540 0.1540 (multiplicity 8)  4 Hg 2.97-3.10

Computed properties:
- E_form (eV per formula unit) = -2.6

Entry from Alexandria via LeMat-Bulk: a relaxed Ba6Na2TlIr crystal (PBE).

Cell: 13.0327 13.0347 9.1999 Å, 90.00 134.90 90.00°
With the nearest neighbours (Å) after each atom.
Space group Cm (No. 8)
One atom of each set of equivalent atoms:
Ba 0.0000 0.0000 0.0000 (multiplicity 2)  1 Ir 3.07
Ba 0.9997 0.0000 0.4715 (multiplicity 2)  1 Ir 3.07
Ba 0.2351 0.2356 0.4713 (multiplicity 4)  1 Ir 3.07
Ba 0.4699 0.0000 0.9423 (multiplicity 2)  1 Ir 3.07
Ba 0.4705 0.0000 0.4708 (multiplicity 2)  1 Ir 3.07
Na 0.2341 0.2501 0.9710 (multiplicity 4)  12 Ba 4.60-4.63
Tl 0.2352 0.5000 0.4711 (multiplicity 2)  6 Ba 3.44-3.45
Ir 0.2351 0.0000 0.4711 (multiplicity 2)  6 Ba 3.07

Computed properties:
- E_form (eV per formula unit) = -1.0

Entry from Alexandria via LeMat-Bulk: a relaxed BaSc2PF crystal (PBE).

Cell: 4.5503 4.5503 5.2829 Å, 90.00 90.00 90.00°
With the nearest neighbours (Å) after each atom.
Space group P4/mmm (No. 123)
One atom of each set of equivalent atoms:
Ba 0.0000 0.0000 0.0000 (multiplicity 1)  2 F 2.64
Sc 0.0000 0.5000 0.5000 (multiplicity 2)  2 F 2.28
P 0.5000 0.5000 0.0000 (multiplicity 1)  4 Ba 3.22, 8 Sc 3.49
F 0.0000 0.0000 0.5000 (multiplicity 1)  4 Sc 2.28

Computed properties:
- E_tot (eV per formula unit) = -26.10

Entry from Alexandria via LeMat-Bulk: a relaxed Y2Er6Th3 crystal (PBE).

Cell: 6.1371 10.6495 11.4663 Å, 90.00 100.46 90.00°
With the nearest neighbours (Å) after each atom.
Space group C2/m (No. 12)
One atom of each set of equivalent atoms:
Y 0.0000 0.1657 0.0000 (multiplicity 4)  6 Er 3.52, 3 Y 3.53-3.56
Er 0.2492 0.1663 0.7463 (multiplicity 8)  3 Th 3.45, 2 Y 3.52, 6 Er 3.54-3.55
Er 0.2487 0.5000 0.7450 (multiplicity 4)  3 Th 3.43-3.44, 2 Y 3.52, 6 Er 3.54-3.55
Th 0.0000 0.0000 0.5000 (multiplicity 2)  6 Er 3.44-3.45, 6 Th 3.54-3.55
Th 0.0000 0.3337 0.5000 (multiplicity 4)  6 Er 3.43-3.45, 6 Th 3.54-3.55

Computed properties:
- E_form (eV per formula unit) = 2.1

Entry from Alexandria via LeMat-Bulk: a relaxed BiSb3N crystal (PBE).

Cell: 9.0734 6.1225 13.0799 Å, 90.00 126.35 90.00°
With the nearest neighbours (Å) after each atom.
Space group P2_1/c (No. 14)
One atom of each set of equivalent atoms:
Bi 0.1743 0.0006 0.1654 (multiplicity 4)  2 N 2.34-2.54
Sb 0.1207 0.0281 0.4440 (multiplicity 4)  2 N 2.14-2.20
Sb 0.4659 0.1644 0.1321 (multiplicity 4)  3 Sb 2.90-3.20, 1 Bi 3.09
Sb 0.4953 0.7150 0.0749 (multiplicity 4)  3 Sb 2.90-3.13, 1 Bi 3.19
N 0.0022 0.7271 0.9849 (multiplicity 4)  2 Sb 2.14-2.20, 1 Bi 2.34

Computed properties:
- E above lowest polymorph (meV/atom) = 0

Entry from Alexandria via LeMat-Bulk: a relaxed Ac2ScF8 crystal (PBE).

Cell: 14.5744 4.2069 5.5681 Å, 90.00 112.13 90.00°
With the nearest neighbours (Å) after each atom.
Space group C2/m (No. 12)
One atom of each set of equivalent atoms:
Ac 0.1615 0.0000 0.1646 (multiplicity 4)  10 F 2.48-2.78
Sc 0.0000 0.5000 0.5000 (multiplicity 2)  4 F 2.17-2.36
F 0.0117 0.0000 0.2749 (multiplicity 4)  2 Ac 2.48-2.78, 2 Sc 2.49, 3 F 2.56-2.65
F 0.0899 0.5000 0.9110 (multiplicity 4)  1 Sc 2.17
F 0.1542 0.5000 0.4522 (multiplicity 4)  1 Sc 2.36
F 0.2216 0.0000 0.8009 (multiplicity 4)  3 Ac 2.49-2.67, 4 F 2.61-2.78

Computed properties:
- E_tot (eV per formula unit) = -72.29

Entry from Alexandria via LeMat-Bulk: a relaxed PmSmCdHg crystal (PBE).

Cell: 3.8143 3.8143 7.6153 Å, 90.00 90.00 90.00°
With the nearest neighbours (Å) after each atom.
Space group P4mm (No. 99)
One atom of each set of equivalent atoms:
Pm 0.0000 0.0000 0.0000 (multiplicity 1)  4 Hg 3.31, 4 Cd 3.32
Sm 0.0000 0.0000 0.5041 (multiplicity 1)  4 Hg 3.28, 4 Cd 3.30
Cd 0.5000 0.5000 0.2544 (multiplicity 1)  4 Sm 3.30, 4 Pm 3.32
Hg 0.5000 0.5000 0.7488 (multiplicity 1)  4 Sm 3.28, 4 Pm 3.31

Computed properties:
- E_form (eV per formula unit) = -1.6

Entry from Alexandria via LeMat-Bulk: a relaxed PmEuGaAg crystal (PBE).

Cell: 7.4776 7.4776 7.4776 Å, 90.00 90.00 90.00°
With the nearest neighbours (Å) after each atom.
Space group F-43m (No. 216)
One atom of each set of equivalent atoms:
Pm 0.0000 0.0000 0.0000 (multiplicity 4)  4 Ga 3.24, 4 Ag 3.24
Eu 0.0000 0.0000 0.5000 (multiplicity 4)  4 Ga 3.24, 4 Ag 3.24
Ga 0.2500 0.2500 0.2500 (multiplicity 4)  4 Pm 3.24, 4 Eu 3.24
Ag 0.2500 0.2500 0.7500 (multiplicity 4)  4 Pm 3.24, 4 Eu 3.24

Computed properties:
- E_form (eV per formula unit) = -1.5

Entry from Alexandria via LeMat-Bulk: a relaxed Zr2Fe2Si crystal (PBE).

Cell: 6.0392 6.0392 4.2849 Å, 90.00 90.00 90.00°
With the nearest neighbours (Å) after each atom.
Space group P4/mbm (No. 127)
One atom of each set of equivalent atoms:
Zr 0.1869 0.3131 0.0000 (multiplicity 4)  6 Fe 2.67-2.88
Fe 0.1258 0.6258 0.5000 (multiplicity 4)  1 Fe 2.15, 2 Si 2.38
Si 0.0000 0.0000 0.5000 (multiplicity 2)  4 Fe 2.38

Computed properties:
- E above lowest polymorph (meV/atom) = 0

no.,M_tot (μB/cell),D(E_F) (states/eV/cell)
1,0.000,10.31
2,0.004,19.55
3,0.000,15.60
4,0.000,3.57
5,0.000,8.68
6,0.000,17.28
7,0.000,5.89
8,0.005,34.10
9,0.000,4.63
10,2.001,6.80
11,0.865,4.57
12,27.737,37.85
13,0.000,8.22